First-principles (GGA-PBE) data for a relaxed NaGa2H crystal, as listed in Alexandria via LeMat-Bulk.

Geometry as POSCAR:
```
NaGa2H
1.0
-0.680 1.409 4.427
0.764 4.480 1.181
-3.620 2.803 1.042
Ga H Na
2 1 1
direct
0.250 0.250 0.250
0.750 0.750 0.750
0.000 0.000 0.000
0.500 0.500 0.500
```

**SG**: Fm-3m (225)
**Magnetization**: 0.0 μB/f.u.
**Energy relative to the lowest polymorph listed for this composition**: 0.293 eV/atom